Density functional theory data (PBE) for BaCdAgAu2 after structural relaxation.

Magnetization, μB/f.u.: 0.00
Crystal system: tetragonal
Distance to the lowest polymorph of the same formula, eV per atom: 0.258
V, Å³/cell: 146.9
Formation energy from the elements, eV/atom: -0.19

```
5
Lattice="5.326 0.000 0.000 0.000 5.326 0.000 0.000 0.000 5.178" Properties=species:S:1:pos:R:3 pbc="T T T"
Ba 0.000 0.000 0.000
Cd 2.663 2.663 0.000
Ag 2.663 2.663 2.589
Au 0.000 2.663 2.589
Au 2.663 0.000 2.589
```